No. 1
Pr6Sm2DyTm: relaxed, PBE.

Calculated values
- total magnetic moment (μB/f.u.) = 0.00
- energy (eV/cell) = -184.195

Cell lengths 9.3081, 15.4986, 9.7752 Å; angles 90.00, 97.87, 90.00 degrees
With the nearest neighbours (Å) after each atom.
Space group C2/c (No. 15)
Asymmetric unit:
Pr: 0.0601 0.1795 0.4464 x8  7 Pr 3.48-3.85, 1 Sm 3.52, 1 Dy 3.70
Pr: 0.1012 0.3933 0.6172 x8  3 Sm 3.30-3.53, 3 Pr 3.35-3.48, 2 Tm 3.48-3.59
Pr: 0.2115 0.2204 0.8089 x8  3 Pr 3.35-3.68, 1 Tm 3.48, 1 Sm 3.50, 1 Dy 3.63
Sm: 0.2480 0.0493 0.0445 x8  5 Pr 3.30-3.53, 2 Dy 3.45-3.46, 1 Tm 3.58
Dy: 0.0000 0.0241 0.7500 x4  4 Sm 3.45-3.46, 4 Pr 3.63-3.70
Tm: 0.0000 0.4112 0.2500 x4  6 Pr 3.48-3.59, 2 Sm 3.58

=====

No. 2
NpBC2: relaxed, PBE.

Calculated values
- ΔE to the lowest computed polymorph (meV/atom) = 19
- total magnetic moment (μB/f.u.) = 2.00
- energy (eV/cell) = -109.761

Cell lengths 3.7185, 3.7185, 14.3821 Å; angles 90.00, 90.00, 120.00 degrees
With the nearest neighbours (Å) after each atom.
Space group R-3m (No. 166, hexagonal axes)
Asymmetric unit:
Np: 0.0000 0.0000 0.0000 x3  6 C 2.35
B: 0.0000 0.0000 0.5000 x3  2 C 1.44
C: 0.0000 0.0000 0.3998 x6  1 B 1.44

=====

No. 3
Ce3PrOs: relaxed, PBE.

Calculated values
- ΔE to the lowest computed polymorph (meV/atom) = 107
- total magnetic moment (μB/f.u.) = 2.19
- energy (eV/cell) = -33.445

Cell lengths 5.4758, 5.4758, 5.4758 Å; angles 90.00, 90.00, 90.00 degrees
With the nearest neighbours (Å) after each atom.
Space group Pm-3m (No. 221)
Asymmetric unit:
Ce: 0.0000 0.0000 0.5000 x3  2 Os 2.74
Pr: 0.5000 0.5000 0.5000 x1  12 Ce 3.87
Os: 0.0000 0.0000 0.0000 x1  6 Ce 2.74

=====

No. 4
SrCeAgPt: relaxed, PBE.

Calculated values
- total magnetic moment (μB/f.u.) = 1.02
- energy (eV/cell) = -73.612

Cell lengths 7.3979, 7.3979, 7.3979 Å; angles 90.00, 90.00, 90.00 degrees
With the nearest neighbours (Å) after each atom.
Space group F-43m (No. 216)
Asymmetric unit:
Sr: 0.0000 0.0000 0.0000 x4  4 Pt 3.20, 4 Ag 3.20
Ce: 0.0000 0.0000 0.5000 x4  4 Pt 3.20, 4 Ag 3.20
Ag: 0.2500 0.2500 0.2500 x4  4 Ce 3.20, 4 Sr 3.20
Pt: 0.2500 0.2500 0.7500 x4  4 Ce 3.20, 4 Sr 3.20

=====

No. 5
SiRhBr2: relaxed, PBE.

Calculated values
- ΔE to the lowest computed polymorph (meV/atom) = 751
- total magnetic moment (μB/f.u.) = 0.94
- energy (eV/cell) = -55.499

Cell lengths 4.7306, 4.7306, 16.5269 Å; angles 90.00, 90.00, 90.00 degrees
With the nearest neighbours (Å) after each atom.
Space group I-42d (No. 122)
Asymmetric unit:
Si: 0.0000 0.0000 0.0000 x4  4 Br 2.69
Rh: 0.0000 0.0000 0.5000 x4  4 Br 2.63
Br: 0.2344 0.2500 0.6250 x8  2 Rh 2.63, 2 Si 2.69

=====

No. 6
Mn2GeN: relaxed, PBE.

Calculated values
- total magnetic moment (μB/f.u.) = 2.74
- energy (eV/cell) = -62.784

Cell lengths 2.8816, 3.2139, 10.0397 Å; angles 90.00, 90.00, 90.00 degrees
With the nearest neighbours (Å) after each atom.
Space group Imm2 (No. 44)
Asymmetric unit:
Mn: 0.0000 0.0000 0.0000 x2  2 N 1.87
Mn: 0.0000 0.0000 0.2900 x2  2 N 1.85
Ge: 0.0000 0.0000 0.6593 x2  8 Mn 2.53-2.69
N: 0.0000 0.5000 0.9053 x2  4 Mn 1.85-1.87

=====

No. 7
CaGaRe3: relaxed, PBE.

Calculated values
- ΔE to the lowest computed polymorph (meV/atom) = 1614
- total magnetic moment (μB/f.u.) = 2.16
- energy (eV/cell) = -26.277

Cell lengths 4.6281, 4.6281, 4.6281 Å; angles 90.00, 90.00, 90.00 degrees
With the nearest neighbours (Å) after each atom.
Space group Pm-3m (No. 221)
Asymmetric unit:
Ca: 0.0000 0.0000 0.0000 x1  6 Re 2.31
Ga: 0.5000 0.5000 0.5000 x1  12 Re 3.27
Re: 0.0000 0.0000 0.5000 x3  2 Ca 2.31

=====

No. 8
YVSiW2: relaxed, PBE.

Calculated values
- total magnetic moment (μB/f.u.) = 0.00
- energy (eV/cell) = -43.186

Cell lengths 4.6379, 4.6379, 4.5206 Å; angles 90.00, 90.00, 90.00 degrees
With the nearest neighbours (Å) after each atom.
Space group P4/mmm (No. 123)
Asymmetric unit:
Y: 0.0000 0.0000 0.0000 x1  8 W 3.24, 4 V 3.28
V: 0.5000 0.5000 0.0000 x1  2 Si 2.26
Si: 0.5000 0.5000 0.5000 x1  2 V 2.26, 4 W 2.32
W: 0.0000 0.5000 0.5000 x2  2 Si 2.32

=====

No. 9
La2YZr: relaxed, PBE.

Calculated values
- ΔE to the lowest computed polymorph (meV/atom) = 37
- total magnetic moment (μB/f.u.) = 0.00
- energy (eV/cell) = -48.645

Cell lengths 11.7680, 3.5153, 6.1309 Å; angles 90.00, 99.65, 90.00 degrees
With the nearest neighbours (Å) after each atom.
Space group Cm (No. 8)
Asymmetric unit:
La: 0.0000 0.0000 0.0000 x2  5 La 3.44-3.62, 4 Y 3.46-3.62, 3 Zr 3.50-3.60
La: 0.2417 0.0000 0.7520 x2  5 La 3.44-3.62, 4 Zr 3.52-3.55, 3 Y 3.53-3.66
Y: 0.4832 0.0000 0.4798 x2  3 Zr 3.41-3.59, 7 La 3.46-3.66, 2 Y 3.52
Zr: 0.2449 0.5000 0.2507 x2  3 Y 3.41-3.59, 7 La 3.50-3.60, 2 Zr 3.52

=====

No. 10
Er4Cd3Pb: relaxed, PBE.

Calculated values
- total magnetic moment (μB/f.u.) = 0.00
- energy (eV/cell) = -27.451

Cell lengths 5.2905, 5.2905, 7.4204 Å; angles 90.00, 90.00, 90.00 degrees
With the nearest neighbours (Å) after each atom.
Space group P4/mmm (No. 123)
Asymmetric unit:
Er: 0.0000 0.5000 0.2452 x4  6 Cd 3.21-3.25, 2 Pb 3.25
Cd: 0.0000 0.0000 0.0000 x1  8 Er 3.21
Cd: 0.0000 0.0000 0.5000 x1  8 Er 3.25
Cd: 0.5000 0.5000 0.0000 x1  8 Er 3.21
Pb: 0.5000 0.5000 0.5000 x1  8 Er 3.25

=====

No. 11
LaTb5Pr2Y: relaxed, PBE.

Calculated values
- total magnetic moment (μB/f.u.) = 0.00
- energy (eV/cell) = -167.210

Cell lengths 8.8010, 8.8010, 15.7677 Å; angles 90.00, 90.00, 90.00 degrees
With the nearest neighbours (Å) after each atom.
Space group I4/mcm (No. 140)
Asymmetric unit:
La: 0.0000 0.0000 0.2500 x4  10 Tb 3.61-3.94
Tb: 0.0000 0.0000 0.0000 x4  4 Pr 3.52, 8 Tb 3.83
Tb: 0.2106 0.2894 0.1377 x16  1 Pr 3.04, 1 Y 3.16
Pr: 0.1179 0.3821 0.5000 x8  1 Pr 2.94, 2 Tb 3.04
Y: 0.0000 0.5000 0.2500 x4  4 Tb 3.16

=====

No. 12
BaYMn4: relaxed, PBE.

Calculated values
- total magnetic moment (μB/f.u.) = 12.98
- energy (eV/cell) = -166.989

Cell lengths 7.9688, 7.9688, 7.9688 Å; angles 90.00, 90.00, 90.00 degrees
With the nearest neighbours (Å) after each atom.
Space group F-43m (No. 216)
Asymmetric unit:
Ba: 0.0000 0.0000 0.0000 x4  12 Mn 3.32, 4 Y 3.45
Y: 0.2500 0.2500 0.2500 x4  12 Mn 3.29, 4 Ba 3.45
Mn: 0.1204 0.1204 0.6204 x16  6 Mn 2.71-2.92